{
  "formula": "Bi8Te7",
  "functional": "PBE",
  "state": "optimized geometry",
  "dos_at_fermi_per_ev_cell": 2.01,
  "space_group": "No. 164",
  "e_form_raw_kj_per_mol_fu": -270.1,
  "e_tot_ev_per_cell": -167.52,
  "lattice_angstrom": [[-0.192, 4.489, 0.135], [-0.787, -2.169, -3.858], [-90.108, -4.479, 20.892]],
  "species": ["Bi", "Bi", "Bi", "Te", "Bi", "Bi", "Bi", "Te", "Te", "Bi", "Bi", "Te", "Te", "Bi", "Te", "Te", "Te", "Bi", "Bi", "Bi", "Bi", "Te", "Te", "Bi", "Bi", "Bi", "Bi", "Te", "Bi", "Te", "Bi", "Bi", "Te", "Te", "Bi", "Te", "Te", "Bi", "Te", "Bi", "Te", "Te", "Te", "Bi", "Te"],
  "fractional_positions": [[0.000, 0.000, 0.401], [0.333, 0.667, 0.354], [0.667, 0.333, 0.444], [0.000, 0.000, 0.267], [0.000, 0.000, 0.133], [0.667, 0.333, 0.711], [0.333, 0.667, 0.491], [0.667, 0.333, 0.578], [0.333, 0.667, 0.618], [0.667, 0.333, 0.978], [0.000, 0.000, 0.932], [0.333, 0.667, 0.693], [0.000, 0.000, 0.805], [0.000, 0.000, 0.068], [0.000, 0.000, 0.463], [0.000, 0.000, 0.195], [0.333, 0.667, 0.422], [0.667, 0.333, 0.646], [0.000, 0.000, 0.599], [0.333, 0.667, 0.556], [0.667, 0.333, 0.245], [0.667, 0.333, 0.382], [0.667, 0.333, 0.846], [0.000, 0.000, 0.664], [0.333, 0.667, 0.824], [0.000, 0.000, 0.336], [0.667, 0.333, 0.509], [0.667, 0.333, 0.114], [0.333, 0.667, 0.755], [0.667, 0.333, 0.773], [0.667, 0.333, 0.176], [0.667, 0.333, 0.914], [0.667, 0.333, 0.040], [0.000, 0.000, 0.000], [0.333, 0.667, 0.086], [0.000, 0.000, 0.537], [0.000, 0.000, 0.733], [0.333, 0.667, 0.022], [0.333, 0.667, 0.227], [0.000, 0.000, 0.867], [0.333, 0.667, 0.886], [0.333, 0.667, 0.960], [0.333, 0.667, 0.154], [0.333, 0.667, 0.289], [0.667, 0.333, 0.307]]
}

{
  "formula": "Bi2Te",
  "functional": "PBE",
  "state": "optimized geometry",
  "dos_at_fermi_per_ev_cell": 2.95,
  "space_group": "No. 141",
  "e_form_raw_kj_per_mol_fu": -14.1,
  "e_tot_ev_per_cell": -22.10,
  "lattice_angstrom": [[-4.172, 4.172, 3.106], [4.172, -4.172, 3.106], [4.172, 4.172, -3.106]],
  "species": ["Bi", "Te", "Te", "Bi", "Bi", "Bi"],
  "fractional_positions": [[0.625, 0.375, 0.250], [0.250, 0.750, 0.500], [0.000, 0.000, 0.000], [0.125, 0.375, 0.750], [0.625, 0.375, 0.750], [0.625, 0.875, 0.250]]
}

{
  "formula": "Bi4Te3",
  "functional": "PBE",
  "state": "optimized geometry",
  "dos_at_fermi_per_ev_cell": 0.20,
  "space_group": "No. 166",
  "e_form_raw_kj_per_mol_fu": -117.9,
  "e_tot_ev_per_cell": -26.17,
  "lattice_angstrom": [[-7.836, 11.106, -4.933], [-10.156, 10.226, -1.166], [-6.507, 12.873, -1.002]],
  "species": ["Bi", "Bi", "Te", "Te", "Bi", "Te", "Bi"],
  "fractional_positions": [[0.853, 0.853, 0.853], [0.286, 0.286, 0.286], [0.420, 0.420, 0.420], [0.580, 0.580, 0.580], [0.147, 0.147, 0.147], [0.000, 0.000, 0.000], [0.714, 0.714, 0.714]]
}

{
  "formula": "Bi2Te3",
  "functional": "PBE",
  "state": "optimized geometry",
  "dos_at_fermi_per_ev_cell": 0.00,
  "space_group": "No. 62",
  "e_form_raw_kj_per_mol_fu": -50.6,
  "e_tot_ev_per_cell": -70.84,
  "lattice_angstrom": [[8.805, 0.000, 0.000], [0.000, 11.041, 0.000], [0.000, 0.000, 7.661]],
  "species": ["Bi", "Te", "Bi", "Bi", "Te", "Bi", "Te", "Te", "Te", "Bi", "Bi", "Te", "Te", "Bi", "Bi", "Te", "Te", "Te", "Te", "Te"],
  "fractional_positions": [[0.469, 0.750, 0.512], [0.324, 0.443, 0.346], [0.000, 0.000, 0.500], [0.031, 0.250, 0.012], [0.324, 0.057, 0.346], [0.000, 0.500, 0.500], [0.676, 0.557, 0.654], [0.824, 0.057, 0.154], [0.824, 0.443, 0.154], [0.531, 0.250, 0.488], [0.500, 0.500, 0.000], [0.676, 0.943, 0.654], [0.101, 0.750, 0.341], [0.969, 0.750, 0.988], [0.500, 0.000, 0.000], [0.399, 0.250, 0.841], [0.176, 0.557, 0.846], [0.601, 0.750, 0.159], [0.899, 0.250, 0.659], [0.176, 0.943, 0.846]]
}

{
  "formula": "BiTe3",
  "functional": "PBE",
  "state": "optimized geometry",
  "dos_at_fermi_per_ev_cell": 2.63,
  "space_group": "No. 160",
  "e_form_raw_kj_per_mol_fu": 19.7,
  "e_tot_ev_per_cell": -13.10,
  "lattice_angstrom": [[8.637, -0.007, -0.004], [7.560, 4.177, -0.004], [7.560, 1.946, 3.696]],
  "species": ["Te", "Te", "Bi", "Te"],
  "fractional_positions": [[0.776, 0.776, 0.776], [0.023, 0.023, 0.023], [0.607, 0.607, 0.607], [0.195, 0.195, 0.195]]
}

{
  "formula": "Bi2Te3",
  "functional": "PBE",
  "state": "optimized geometry",
  "dos_at_fermi_per_ev_cell": 5.82,
  "space_group": "No. 221",
  "e_form_raw_kj_per_mol_fu": 274.8,
  "e_tot_ev_per_cell": -14.34,
  "lattice_angstrom": [[-3.550, -2.165, -4.118], [4.651, -1.555, -3.193], [0.087, -5.210, 2.664]],
  "species": ["Te", "Te", "Bi", "Te", "Bi"],
  "fractional_positions": [[0.000, 0.000, 0.500], [0.000, 0.500, 0.000], [0.000, 0.000, 0.000], [0.500, 0.000, 0.000], [0.500, 0.500, 0.500]]
}

{
  "formula": "ThBiTe4",
  "functional": "PBE",
  "state": "optimized geometry",
  "dos_at_fermi_per_ev_cell": 3.31,
  "space_group": "No. 10",
  "e_form_raw_kj_per_mol_fu": -310.4,
  "e_tot_ev_per_cell": -27.08,
  "e_above_lowest_polymorph_mev_per_atom": 0,
  "lattice_angstrom": [[5.111, 0.000, 0.000], [0.000, 4.419, -3.092], [0.000, 0.068, 9.522]],
  "species": ["Te", "Te", "Th", "Te", "Bi", "Te"],
  "fractional_positions": [[0.000, 0.248, 0.748], [0.000, 0.752, 0.252], [0.500, 0.500, 0.000], [0.500, 0.763, 0.763], [0.000, 0.500, 0.500], [0.500, 0.237, 0.237]]
}

{
  "formula": "ThBiTe3",
  "functional": "PBE",
  "state": "optimized geometry",
  "space_group": "No. 12",
  "e_form_raw_kj_per_mol_fu": -352.7,
  "e_tot_ev_per_cell": -48.76,
  "lattice_angstrom": [[-4.269, 1.572, -0.069], [-1.802, -4.590, 6.929], [4.839, 6.793, 5.338]],
  "species": ["Bi", "Te", "Bi", "Te", "Te", "Th", "Th", "Te", "Te", "Te"],
  "fractional_positions": [[0.465, 0.335, 0.930], [0.950, 0.791, 0.901], [0.535, 0.665, 0.070], [0.178, 0.609, 0.357], [0.822, 0.391, 0.643], [0.220, 0.247, 0.439], [0.780, 0.753, 0.561], [0.050, 0.209, 0.099], [0.335, 0.981, 0.670], [0.665, 0.019, 0.330]]
}

{
  "formula": "Th3BiTe3",
  "functional": "PBE",
  "state": "optimized geometry",
  "dos_at_fermi_per_ev_cell": 8.92,
  "space_group": "No. 148",
  "e_form_raw_kj_per_mol_fu": -638.0,
  "e_tot_ev_per_cell": -84.36,
  "lattice_angstrom": [[9.475, 0.000, 0.000], [4.738, 8.206, 0.000], [4.738, 2.735, 6.242]],
  "species": ["Th", "Th", "Te", "Bi", "Te", "Bi", "Th", "Te", "Te", "Th", "Th", "Te", "Te", "Th"],
  "fractional_positions": [[0.078, 0.696, 0.773], [0.922, 0.304, 0.227], [0.908, 0.636, 0.268], [0.329, 0.329, 0.014], [0.812, 0.092, 0.732], [0.671, 0.671, 0.986], [0.547, 0.922, 0.227], [0.092, 0.364, 0.732], [0.636, 0.188, 0.268], [0.453, 0.078, 0.773], [0.696, 0.453, 0.773], [0.188, 0.908, 0.268], [0.364, 0.812, 0.732], [0.304, 0.547, 0.227]]
}

{
  "formula": "ThBiTe4",
  "functional": "PBE",
  "state": "optimized geometry",
  "dos_at_fermi_per_ev_cell": 9.45,
  "space_group": "No. 14",
  "e_form_raw_kj_per_mol_fu": -277.8,
  "e_tot_ev_per_cell": -53.49,
  "e_above_lowest_polymorph_mev_per_atom": 56,
  "lattice_angstrom": [[7.795, 0.000, -0.216], [0.000, 7.621, 0.000], [-0.337, 0.000, 7.552]],
  "species": ["Te", "Te", "Bi", "Te", "Te", "Te", "Te", "Te", "Te", "Th", "Th", "Bi"],
  "fractional_positions": [[0.634, 0.623, 0.631], [0.366, 0.377, 0.369], [0.000, 0.500, 0.500], [0.356, 0.854, 0.131], [0.644, 0.146, 0.869], [0.134, 0.877, 0.631], [0.866, 0.123, 0.369], [0.856, 0.646, 0.131], [0.144, 0.354, 0.869], [0.500, 0.500, 0.000], [0.000, 0.000, 0.000], [0.500, 0.000, 0.500]]
}

{
  "formula": "Th4BiTe3",
  "functional": "PBE",
  "state": "optimized geometry",
  "dos_at_fermi_per_ev_cell": 5.15,
  "space_group": "No. 123",
  "e_form_raw_kj_per_mol_fu": -740.8,
  "e_tot_ev_per_cell": -50.66,
  "lattice_angstrom": [[-1.117, 2.475, -2.767], [-3.708, -0.613, 0.949], [0.673, 11.672, 10.169]],
  "species": ["Te", "Th", "Bi", "Th", "Th", "Te", "Th", "Te"],
  "fractional_positions": [[0.500, 0.500, 0.500], [0.000, 0.000, 0.625], [0.500, 0.500, 0.000], [0.000, 0.000, 0.125], [0.000, 0.000, 0.875], [0.500, 0.500, 0.747], [0.000, 0.000, 0.375], [0.500, 0.500, 0.253]]
}

{
  "formula": "Th4Bi2Te5",
  "functional": "PBE",
  "state": "optimized geometry",
  "dos_at_fermi_per_ev_cell": 11.08,
  "space_group": "No. 71",
  "e_form_raw_kj_per_mol_fu": -525.1,
  "e_tot_ev_per_cell": -58.59,
  "lattice_angstrom": [[-1.197, -0.653, -4.000], [-6.746, -7.262, 3.204], [-2.411, 10.274, 1.276]],
  "species": ["Bi", "Bi", "Th", "Te", "Th", "Th", "Th", "Te", "Te", "Te", "Te"],
  "fractional_positions": [[0.809, 0.809, 0.617], [0.191, 0.191, 0.383], [0.605, 0.605, 0.209], [0.500, 0.000, 0.000], [0.000, 0.217, 0.000], [0.395, 0.395, 0.791], [0.000, 0.783, 0.000], [0.835, 0.136, 0.671], [0.835, 0.535, 0.671], [0.165, 0.465, 0.329], [0.165, 0.864, 0.329]]
}

{
  "formula": "Th3BiTe2",
  "functional": "PBE",
  "state": "optimized geometry",
  "dos_at_fermi_per_ev_cell": 3.59,
  "space_group": "No. 123",
  "e_form_raw_kj_per_mol_fu": -531.5,
  "e_tot_ev_per_cell": -37.93,
  "lattice_angstrom": [[3.880, 0.000, 0.000], [0.000, 3.880, 0.000], [0.000, 0.000, 11.658]],
  "species": ["Th", "Bi", "Th", "Te", "Th", "Te"],
  "fractional_positions": [[0.000, 0.000, 0.333], [0.500, 0.500, 0.500], [0.000, 0.000, 0.000], [0.500, 0.500, 0.164], [0.000, 0.000, 0.667], [0.500, 0.500, 0.836]]
}

{
  "formula": "Th4BiTe3",
  "functional": "PBE",
  "state": "optimized geometry",
  "dos_at_fermi_per_ev_cell": 6.78,
  "space_group": "No. 166",
  "e_form_raw_kj_per_mol_fu": -695.0,
  "e_tot_ev_per_cell": -50.19,
  "lattice_angstrom": [[-1.029, 4.067, 1.601], [0.825, 0.995, 4.301], [13.369, 6.546, -1.736]],
  "species": ["Th", "Th", "Te", "Te", "Bi", "Th", "Te", "Th"],
  "fractional_positions": [[0.378, 0.378, 0.867], [0.125, 0.125, 0.624], [0.751, 0.751, 0.746], [0.249, 0.249, 0.254], [0.000, 0.000, 0.000], [0.622, 0.622, 0.133], [0.500, 0.500, 0.500], [0.875, 0.875, 0.376]]
}

{
  "formula": "Th3BiTe",
  "functional": "PBE",
  "state": "optimized geometry",
  "dos_at_fermi_per_ev_cell": 12.13,
  "space_group": "No. 12",
  "e_form_raw_kj_per_mol_fu": -152.0,
  "e_tot_ev_per_cell": -61.72,
  "lattice_angstrom": [[4.034, 0.000, 0.000], [-2.017, 8.882, 1.465], [0.000, 1.007, 9.463]],
  "species": ["Bi", "Th", "Th", "Bi", "Th", "Th", "Te", "Th", "Th", "Te"],
  "fractional_positions": [[0.393, 0.786, 0.583], [0.764, 0.527, 0.842], [0.191, 0.382, 0.605], [0.607, 0.214, 0.417], [0.809, 0.618, 0.395], [0.004, 0.007, 0.273], [0.115, 0.230, 0.952], [0.996, 0.993, 0.727], [0.236, 0.473, 0.158], [0.885, 0.770, 0.048]]
}

{
  "formula": "Th2BiTe3",
  "functional": "PBE",
  "state": "optimized geometry",
  "dos_at_fermi_per_ev_cell": 4.75,
  "space_group": "No. 12",
  "e_form_raw_kj_per_mol_fu": -537.2,
  "e_tot_ev_per_cell": -67.43,
  "lattice_angstrom": [[-2.686, -1.900, 6.793], [-6.034, -2.493, -3.085], [3.745, -6.169, -0.247]],
  "species": ["Te", "Bi", "Te", "Th", "Te", "Th", "Te", "Te", "Te", "Th", "Th", "Bi"],
  "fractional_positions": [[0.250, 0.912, 0.580], [0.750, 0.585, 0.585], [0.250, 0.102, 0.102], [0.000, 0.241, 0.759], [0.750, 0.088, 0.420], [0.500, 0.758, 0.242], [0.750, 0.898, 0.898], [0.750, 0.420, 0.088], [0.250, 0.580, 0.912], [0.500, 0.242, 0.758], [0.000, 0.759, 0.241], [0.250, 0.415, 0.415]]
}

{
  "formula": "Th4Bi3Te4",
  "functional": "PBE",
  "state": "optimized geometry",
  "dos_at_fermi_per_ev_cell": 5.53,
  "space_group": "No. 71",
  "e_form_raw_kj_per_mol_fu": -913.9,
  "e_tot_ev_per_cell": -63.36,
  "lattice_angstrom": [[4.308, 0.000, 0.000], [0.000, 9.385, 0.000], [-2.154, -4.692, 8.954]],
  "species": ["Bi", "Bi", "Th", "Te", "Th", "Th", "Th", "Te", "Te", "Te", "Bi"],
  "fractional_positions": [[0.904, 0.904, 0.807], [0.096, 0.096, 0.193], [0.742, 0.242, 0.484], [0.331, 0.519, 0.662], [0.500, 0.220, 0.000], [0.258, 0.758, 0.516], [0.500, 0.780, 0.000], [0.669, 0.481, 0.338], [0.331, 0.143, 0.662], [0.669, 0.857, 0.338], [0.000, 0.500, 0.000]]
}

{
  "formula": "Th4BiTe5",
  "functional": "PBE",
  "state": "optimized geometry",
  "dos_at_fermi_per_ev_cell": 6.66,
  "space_group": "No. 12",
  "e_form_raw_kj_per_mol_fu": -976.1,
  "e_tot_ev_per_cell": -59.39,
  "lattice_angstrom": [[-1.861, -3.140, 2.570], [-2.904, -4.339, -7.403], [9.680, -2.416, 0.180]],
  "species": ["Th", "Te", "Te", "Th", "Th", "Te", "Th", "Te", "Bi", "Te"],
  "fractional_positions": [[0.999, 0.744, 0.997], [0.500, 0.500, 0.000], [0.833, 0.177, 0.667], [0.669, 0.083, 0.338], [0.331, 0.917, 0.662], [0.167, 0.823, 0.333], [0.001, 0.256, 0.003], [0.833, 0.674, 0.666], [0.500, 0.000, 0.000], [0.167, 0.326, 0.334]]
}

{
  "formula": "Th4Bi5Te",
  "functional": "PBE",
  "state": "optimized geometry",
  "dos_at_fermi_per_ev_cell": 8.65,
  "space_group": "No. 12",
  "e_form_raw_kj_per_mol_fu": -427.1,
  "e_tot_ev_per_cell": -56.65,
  "lattice_angstrom": [[-0.073, 4.897, 1.059], [-6.024, 1.109, -5.545], [0.120, -4.952, 11.057]],
  "species": ["Bi", "Th", "Th", "Te", "Bi", "Th", "Bi", "Bi", "Th", "Bi"],
  "fractional_positions": [[0.844, 0.182, 0.687], [0.297, 0.835, 0.594], [0.001, 0.761, 0.002], [0.500, 0.000, 0.000], [0.500, 0.500, 0.000], [0.703, 0.165, 0.406], [0.156, 0.818, 0.313], [0.843, 0.691, 0.687], [0.999, 0.239, 0.998], [0.157, 0.309, 0.313]]
}

{
  "formula": "Th5Bi2Te5",
  "functional": "PBE",
  "state": "optimized geometry",
  "dos_at_fermi_per_ev_cell": 6.85,
  "space_group": "No. 12",
  "e_form_raw_kj_per_mol_fu": -1012.3,
  "e_tot_ev_per_cell": -71.06,
  "lattice_angstrom": [[4.311, 0.000, 0.000], [-2.156, 7.116, 0.006], [0.000, -3.426, 13.489]],
  "species": ["Th", "Bi", "Te", "Th", "Te", "Te", "Bi", "Th", "Te", "Th", "Th", "Te"],
  "fractional_positions": [[0.867, 0.734, 0.566], [0.020, 0.039, 0.780], [0.747, 0.494, 0.336], [0.000, 0.000, 0.000], [0.334, 0.668, 0.953], [0.253, 0.506, 0.664], [0.980, 0.961, 0.220], [0.304, 0.608, 0.188], [0.666, 0.332, 0.047], [0.133, 0.266, 0.434], [0.696, 0.392, 0.812], [0.500, 0.000, 0.500]]
}